# PBE-GGA Li2CaTc, optimized geometry
# Energy of formation from the pure elements ... 536 meV per atom
# Total energy ... -14.1 eV/f.u.
# Magnetic moment ... 0.381 μB per formula unit
# Relative energy among the computed polymorphs ... 107 meV per atom
data_Li2CaTc
_cell_length_a 2.9905
_cell_length_b 2.9905
_cell_length_c 30.7690
_cell_angle_alpha 90.00
_cell_angle_beta 90.00
_cell_angle_gamma 120.00
_symmetry_space_group_name_H-M 'R 3 m'
_symmetry_Int_Tables_number 160
_symmetry_space_group_name_Hall 'R 3 -2"'
loop_
_atom_site_label
_atom_site_type_symbol
_atom_site_fract_x
_atom_site_fract_y
_atom_site_fract_z
Li1 Li 0.0000 0.0000 0.0000
Li2 Li 0.0000 0.0000 0.2477
Ca1 Ca 0.0000 0.0000 0.4834
Tc1 Tc 0.0000 0.0000 0.7380